[1]
CdRe2Br | GGA-PBE | optimized geometry

Spin magnetization   0.00 μB/atom
Uncorrected formation energy   1.713 eV/atom
Excess energy over the best structure of this formula in the dataset   1418 meV/atom

Structure (CIF):
```
data_CdRe2Br
_chemical_formula_sum 'Cd4 Re8 Br4'
_symmetry_space_group_name_H-M 'I -4 2 d'
_symmetry_Int_Tables_number 122
_symmetry_space_group_name_Hall 'I -4 2bw'
_cell_length_a 7.464
_cell_length_b 7.464
_cell_length_c 5.379
_cell_angle_alpha 90.00
_cell_angle_beta 90.00
_cell_angle_gamma 90.00
loop_
_atom_site_label
_atom_site_type_symbol
_atom_site_fract_x
_atom_site_fract_y
_atom_site_fract_z
Cd1 Cd 0.000 0.000 0.000
Re1 Re 0.191 0.250 0.625
Br1 Br 0.000 0.000 0.500
```



[2]
CdRe2Br | GGA-PBE | optimized geometry

Spin magnetization   0.00 μB/atom
Uncorrected formation energy   1.410 eV/atom
Excess energy over the best structure of this formula in the dataset   1115 meV/atom

Structure (CIF):
```
data_CdRe2Br
_chemical_formula_sum 'Cd1 Re2 Br1'
_symmetry_space_group_name_H-M 'P 4/m m m'
_symmetry_Int_Tables_number 123
_symmetry_space_group_name_Hall '-P 4 2'
_cell_length_a 2.828
_cell_length_b 2.828
_cell_length_c 8.713
_cell_angle_alpha 90.00
_cell_angle_beta 90.00
_cell_angle_gamma 90.00
loop_
_atom_site_label
_atom_site_type_symbol
_atom_site_fract_x
_atom_site_fract_y
_atom_site_fract_z
Cd1 Cd 0.000 0.000 0.000
Re1 Re 0.500 0.500 0.256
Br1 Br 0.000 0.000 0.500
```



[3]
CdRe2Br | GGA-PBE | optimized geometry

Spin magnetization   0.00 μB/atom
Uncorrected formation energy   0.295 eV/atom
Excess energy over the best structure of this formula in the dataset   0 meV/atom

Structure (CIF):
```
data_CdRe2Br
_chemical_formula_sum 'Cd1 Re2 Br1'
_symmetry_space_group_name_H-M 'P 1 m 1'
_symmetry_Int_Tables_number 6
_symmetry_space_group_name_Hall 'P -2y'
_cell_length_a 3.101
_cell_length_b 3.059
_cell_length_c 8.427
_cell_angle_alpha 90.00
_cell_angle_beta 90.79
_cell_angle_gamma 90.00
loop_
_atom_site_label
_atom_site_type_symbol
_atom_site_fract_x
_atom_site_fract_y
_atom_site_fract_z
Cd1 Cd 0.000 0.000 0.000
Re1 Re 0.490 0.500 0.760
Re2 Re 0.983 0.000 0.592
Br1 Br 0.972 0.500 0.339
```



[4]
CdRe2Br | GGA-PBE | optimized geometry

Spin magnetization   0.00 μB/atom
Uncorrected formation energy   0.997 eV/atom
Excess energy over the best structure of this formula in the dataset   702 meV/atom

Structure (CIF):
```
data_CdRe2Br
_chemical_formula_sum 'Cd1 Re2 Br1'
_symmetry_space_group_name_H-M 'P 1 2/m 1'
_symmetry_Int_Tables_number 10
_symmetry_space_group_name_Hall '-P 2y'
_cell_length_a 3.567
_cell_length_b 5.043
_cell_length_c 5.092
_cell_angle_alpha 90.00
_cell_angle_beta 97.82
_cell_angle_gamma 90.00
loop_
_atom_site_label
_atom_site_type_symbol
_atom_site_fract_x
_atom_site_fract_y
_atom_site_fract_z
Cd1 Cd 0.000 0.000 0.000
Re1 Re 0.295 0.500 0.154
Br1 Br 0.500 0.000 0.500
```



[5]
Cd3ReBr | GGA-PBE | optimized geometry

Spin magnetization   0.63 μB/atom
Uncorrected formation energy   0.841 eV/atom
Excess energy over the best structure of this formula in the dataset   0 meV/atom

Structure (CIF):
```
data_Cd3ReBr
_chemical_formula_sum 'Cd3 Re1 Br1'
_symmetry_space_group_name_H-M 'P m -3 m'
_symmetry_Int_Tables_number 221
_symmetry_space_group_name_Hall '-P 4 2 3'
_cell_length_a 5.447
_cell_length_b 5.447
_cell_length_c 5.447
_cell_angle_alpha 90.00
_cell_angle_beta 90.00
_cell_angle_gamma 90.00
loop_
_atom_site_label
_atom_site_type_symbol
_atom_site_fract_x
_atom_site_fract_y
_atom_site_fract_z
Cd1 Cd 0.000 0.000 0.500
Re1 Re 0.000 0.000 0.000
Br1 Br 0.500 0.500 0.500
```



[6]
CdRe2Br | GGA-PBE | optimized geometry

Spin magnetization   0.00 μB/atom
Uncorrected formation energy   1.295 eV/atom
Excess energy over the best structure of this formula in the dataset   1000 meV/atom

Structure (CIF):
```
data_CdRe2Br
_chemical_formula_sum 'Cd2 Re4 Br2'
_symmetry_space_group_name_H-M 'I -4 m 2'
_symmetry_Int_Tables_number 119
_symmetry_space_group_name_Hall 'I -4 -2'
_cell_length_a 4.344
_cell_length_b 4.344
_cell_length_c 7.414
_cell_angle_alpha 90.00
_cell_angle_beta 90.00
_cell_angle_gamma 90.00
loop_
_atom_site_label
_atom_site_type_symbol
_atom_site_fract_x
_atom_site_fract_y
_atom_site_fract_z
Cd1 Cd 0.000 0.000 0.000
Re1 Re 0.000 0.000 0.500
Re2 Re 0.000 0.500 0.750
Br1 Br 0.000 0.500 0.250
```



Which value of spin magnetization does entry 3 give?
0.00 μB/atom



What is the formula in the sixth record?
CdRe2Br



Which formula does entry 4 have?
CdRe2Br



Look up the excess energy over the best structure of this formula in the dataset of the second one.
1115 meV/atom